[1]
Here is Tb2Cd3Cu after structural relaxation from the Alexandria database. Energies are from PBE.

Geometry as extended XYZ:
```
6
Lattice="3.416 0.000 0.000 0.000 4.851 0.000 0.000 0.000 8.409" Properties=species:S:1:pos:R:3 pbc="T T T"
Cd 1.708 0.000 6.996
Cd 1.708 2.426 5.516
Cd 1.708 0.000 1.453
Tb 0.000 0.000 4.074
Tb 0.000 2.426 0.196
Cu 1.708 2.426 2.787
```

Space-group type: Pmm2, No. 25
Formation energy from the elements (eV/atom): -0.26

[2]
Here is KTa2AlSb after structural relaxation from the Alexandria database. Energies are from PBE.

Geometry as extended XYZ:
```
5
Lattice="-3.340 -3.940 -0.733 3.920 -3.410 0.473 -0.872 -0.259 5.366" Properties=species:S:1:pos:R:3 pbc="T T T"
K -0.146 -3.804 2.553
Ta -1.670 -1.970 -0.366
Ta 1.960 -1.705 0.236
Al -0.436 -0.129 2.683
Sb 0.000 0.000 0.000
```

Space-group type: P4/mmm, No. 123
Energy relative to the elements, uncorrected (eV per formula unit): 8.06

[3]
Here is BaMoPt2 after structural relaxation from the Alexandria database. Energies are from PBE.

Geometry as extended XYZ:
```
4
Lattice="-8.650 -1.658 -5.118 -7.121 -4.111 -6.012 -8.656 -4.152 -3.405" Properties=species:S:1:pos:R:3 pbc="T T T"
Ba -6.107 -2.480 -3.634
Pt -11.894 -4.831 -7.077
Pt -0.319 -0.130 -0.190
Mo -18.320 -7.440 -10.901
```

Space-group type: R-3m, No. 166
Distance to the lowest polymorph of the same formula (meV per atom): 642
Formation energy from the elements (eV/atom): 0.38

[4]
Here is PmPr3Nd5 after structural relaxation from the Alexandria database. Energies are from PBE.

Geometry as extended XYZ:
```
18
Lattice="-8.770 -5.409 0.758 -3.756 -5.797 7.683 -10.011 1.408 7.327" Properties=species:S:1:pos:R:3 pbc="T T T"
Pm -7.866 -0.342 5.676
Pm -14.672 -9.456 10.093
Nd -2.356 -1.719 1.609
Nd -7.181 -5.532 2.953
Nd -9.168 -2.371 8.543
Nd -12.533 -3.976 8.851
Nd -5.345 -5.674 5.489
Nd -11.437 -7.576 9.894
Nd -10.005 -5.822 6.918
Nd -13.369 -7.427 7.226
Nd -20.182 -8.079 14.159
Nd -11.100 -2.222 5.875
Pr -4.770 -3.137 3.278
Pr -5.005 0.704 3.663
Pr -7.833 -3.585 5.470
Pr 0.000 0.000 0.000
Pr -17.767 -6.661 12.491
Pr -14.705 -6.213 10.298
```

Space-group type: C2/m, No. 12
Formation energy from the elements (eV/atom): 0.36

[5]
Here is Cu13Au3 after structural relaxation from the Alexandria database. Energies are from PBE.

Geometry as extended XYZ:
```
16
Lattice="-4.222 1.941 -2.740 -3.014 -4.077 1.843 -1.898 4.011 5.766" Properties=species:S:1:pos:R:3 pbc="T T T"
Au -3.516 -2.992 3.310
Au -3.902 0.347 -1.526
Au -4.427 -1.067 6.078
Cu -2.020 -0.999 2.390
Cu -4.856 2.378 1.337
Cu -4.092 -0.090 1.049
Cu -5.026 1.882 3.884
Cu -5.594 -2.053 1.947
Cu -6.281 0.446 2.212
Cu -1.832 -0.578 -0.201
Cu -3.326 -2.521 0.658
Cu -5.390 -1.628 -0.642
Cu -2.943 0.949 5.191
Cu -4.282 -0.482 3.516
Cu -2.859 1.456 2.636
Cu -6.516 -0.105 4.748
```

Space-group type: Amm2, No. 38
Formation energy from the elements (eV/atom): 0.00

[6]
Here is Zr3MoSe after structural relaxation from the Alexandria database. Energies are from PBE.

Geometry as extended XYZ:
```
5
Lattice="5.050 0.000 0.000 0.000 5.050 0.000 0.000 0.000 5.050" Properties=species:S:1:pos:R:3 pbc="T T T"
Zr 2.525 0.000 0.000
Zr 0.000 2.525 0.000
Zr 0.000 0.000 2.525
Mo 0.000 0.000 0.000
Se 2.525 2.525 2.525
```

Space-group type: Pm-3m, No. 221
Distance to the lowest polymorph of the same formula (meV per atom): 215
Energy relative to the elements, uncorrected (eV per formula unit): 2.94

[7]
Here is YBe2Co after structural relaxation from the Alexandria database. Energies are from PBE.

Geometry as extended XYZ:
```
4
Lattice="3.514 0.000 0.000 0.000 2.997 0.048 0.000 1.415 5.361" Properties=species:S:1:pos:R:3 pbc="T T T"
Be 1.757 0.538 1.451
Be 0.000 0.555 0.427
Y 1.757 3.496 4.201
Co 0.000 2.029 2.034
```

Space-group type: Amm2, No. 38
Distance to the lowest polymorph of the same formula (meV per atom): 254
Formation energy from the elements (eV/atom): 0.06

[8]
Here is PmHo3Er6 after structural relaxation from the Alexandria database. Energies are from PBE.

Geometry as extended XYZ:
```
20
Lattice="-5.164 -1.801 2.802 5.038 -8.975 3.517 0.164 9.008 6.093" Properties=species:S:1:pos:R:3 pbc="T T T"
Er 3.547 -0.873 6.349
Er -2.151 -5.335 4.241
Er 0.507 -0.083 7.992
Er -1.746 2.685 7.148
Er -1.623 3.142 3.926
Er -1.212 -0.094 4.816
Er -4.337 6.498 8.538
Er 1.019 3.159 8.805
Er 1.828 -0.884 3.173
Er 2.908 -4.060 4.652
Er 2.652 -8.866 4.808
Er 0.490 -5.318 9.121
Ho 2.467 -2.741 8.938
Ho -0.925 -2.762 2.671
Ho -4.562 0.230 4.630
Ho 1.693 1.850 5.290
Ho 0.175 -2.979 6.128
Ho -1.169 0.251 10.897
Pm 0.616 -6.414 5.902
Pm 0.356 4.972 6.003
```

Space-group type: Cmc2_1, No. 36
Distance to the lowest polymorph of the same formula (meV per atom): 0
Formation energy from the elements (eV/atom): 0.15

Raw total energy values, unit eV per cell, following the record order: -17.67; -24.61; -23.30; -79.30; -63.14; -37.02; -20.78; -88.75.